No. 1
LiZn3 after structural relaxation, computed with GGA-PBE.

Results
mass density	6.07	g/cm³
final energy	-12.75	eV per cell

Cell and atoms, written as CIF:
```
data_LiZn3
_space_group_name_H-M_alt 'P m m n'
_space_group_IT_number 59
_cell_length_a 4.364
_cell_length_b 5.480
_cell_length_c 4.649
_cell_angle_alpha 90.00
_cell_angle_beta 90.00
_cell_angle_gamma 90.00
loop_
_space_group_symop_operation_xyz
'x,y,z'
'-x,-y,-z'
'-x+1/2,-y+1/2,z'
'x+1/2,y+1/2,-z'
'x+1/2,-y,-z'
'-x+1/2,y,z'
'-x,y+1/2,-z'
'x,-y+1/2,z'
loop_
_atom_site_label
_atom_site_fract_x
_atom_site_fract_y
_atom_site_fract_z
Li1 0.250 0.250 0.167
Zn1 0.250 0.501 0.672
Zn2 0.250 0.750 0.171
```

No. 2
Y2Zn2InGa after structural relaxation, computed with GGA-PBE.

Results
mass density	5.94	g/cm³
final energy	-94.71	eV per cell

Cell and atoms, written as CIF:
```
data_Y2Zn2InGa
_space_group_name_H-M_alt 'P 1 m 1'
_space_group_IT_number 6
_space_group_name_Hall 'P -2y'
_cell_length_a 11.274
_cell_length_b 4.603
_cell_length_c 11.277
_cell_angle_alpha 90.00
_cell_angle_beta 109.47
_cell_angle_gamma 90.00
loop_
_atom_site_label
_atom_site_fract_x
_atom_site_fract_y
_atom_site_fract_z
Y1 0.000 0.000 0.000
Y2 0.119 0.500 0.373
Y3 0.243 0.000 0.746
Y4 0.375 0.500 0.121
Y5 0.505 0.000 0.495
Y6 0.631 0.500 0.878
Y7 0.753 0.000 0.251
Y8 0.876 0.500 0.620
Zn1 0.122 0.500 0.623
Zn2 0.246 0.000 0.995
Zn3 0.377 0.500 0.373
Zn4 0.499 0.000 0.747
Zn5 0.630 0.500 0.129
Zn6 0.753 0.000 0.496
Zn7 0.881 0.500 0.875
Zn8 0.997 0.000 0.248
In1 0.250 0.000 0.249
In2 0.375 0.500 0.623
In3 0.501 0.000 0.998
In4 0.751 0.000 0.748
Ga1 0.124 0.500 0.873
Ga2 0.626 0.500 0.372
Ga3 0.875 0.500 0.124
Ga4 0.999 0.000 0.497
```

No. 3
SrCoB4 after structural relaxation, computed with GGA-PBE.

Results
mass density	4.78	g/cm³
energy relative to the lowest polymorph listed for this composition	1.936	eV per formula unit

Cell and atoms, written as CIF:
```
data_SrCoB4
_space_group_name_H-M_alt 'I m m m'
_space_group_IT_number 71
_space_group_name_Hall '-I 2 2'
_cell_length_a 3.022
_cell_length_b 5.476
_cell_length_c 7.963
_cell_angle_alpha 90.00
_cell_angle_beta 90.00
_cell_angle_gamma 90.00
loop_
_atom_site_label
_atom_site_fract_x
_atom_site_fract_y
_atom_site_fract_z
Sr1 0.000 0.000 0.000
Co1 0.000 0.000 0.500
B1 0.000 0.343 0.240
```

No. 4
RbFeAgTeSe2 after structural relaxation, computed with GGA-PBE.

Results
mass density	5.44	g/cm³
final energy	-95.55	eV per cell

Cell and atoms, written as CIF:
```
data_RbFeAgTeSe2
_space_group_name_H-M_alt 'C m c m'
_space_group_IT_number 63
_space_group_name_Hall '-C 2c 2'
_cell_length_a 3.685
_cell_length_b 16.763
_cell_length_c 10.568
_cell_angle_alpha 90.00
_cell_angle_beta 90.00
_cell_angle_gamma 90.00
loop_
_atom_site_label
_atom_site_fract_x
_atom_site_fract_y
_atom_site_fract_z
Rb1 0.000 0.235 0.250
Fe1 0.000 0.000 0.000
Ag1 0.000 0.448 0.750
Te1 0.000 0.074 0.750
Se1 0.000 0.395 0.522
```